# InCoNiO4

InCoNiO4 after structural relaxation (PBE+U, the Alexandria database).

Calculated total energy in eV per cell: -76.2
Symmetry: Imma
Calculated density in g/cm3: 6.0
Crystal system: orthorhombic

Cell: 6.076 6.117 6.117 Å, 61.75 60.22 60.22°
Site moments in Bohr magnetons follow the coordinates.
Fractional positions:
In 0.000 0.000 0.000  0.03
In 0.000 0.500 0.500  0.03
O 0.256 0.752 0.736  0.27
Ni 0.000 0.000 0.500  1.80
O 0.744 0.764 0.748  0.27
O 0.761 0.242 0.742  0.17
Co 0.367 0.383 0.883  3.06
O 0.256 0.236 0.252  0.27
Ni 0.500 0.000 0.500  1.80
O 0.744 0.248 0.264  0.27
O 0.239 0.758 0.258  0.17
O 0.255 0.242 0.742  0.17
O 0.745 0.758 0.258  0.17
Co 0.633 0.617 0.117  3.06